1.
! La3Ru | Alexandria via LeMat-Bulk | SCAN | single point on PBEsol structure; values from VASP
&SYSTEM
  ibrav = 0, nat = 4, ntyp = 2
/
ATOMIC_SPECIES
La 138.91 La.upf
Ru 101.07 Ru.upf
CELL_PARAMETERS angstrom
-1.892 5.215 2.892
1.892 -5.215 2.892
1.892 5.215 -2.892
ATOMIC_POSITIONS angstrom
La 0.000 0.000 0.000
La 1.892 3.222 0.033
La 0.000 1.994 2.925
Ru 0.000 5.215 0.353
! Energy of formation, meV per atom: -158
! SG: Imm2

2.
! Sr2MgZrCo | Alexandria via LeMat-Bulk | SCAN | single point on PBEsol structure; values from VASP
&SYSTEM
  ibrav = 0, nat = 5, ntyp = 4
/
ATOMIC_SPECIES
Sr 87.62 Sr.upf
Mg 24.30 Mg.upf
Zr 91.22 Zr.upf
Co 58.93 Co.upf
CELL_PARAMETERS angstrom
5.840 0.000 0.000
0.000 5.840 0.000
0.000 0.000 5.388
ATOMIC_POSITIONS angstrom
Sr 0.000 2.920 0.000
Sr 2.920 0.000 0.000
Mg 0.000 0.000 2.694
Zr 0.000 0.000 0.000
Co 2.920 2.920 2.694
! Energy of formation, meV per atom: 1380
! SG: P4/mmm

3.
! Be4ZnPt | Alexandria via LeMat-Bulk | SCAN | single point on PBEsol structure; values from VASP
&SYSTEM
  ibrav = 0, nat = 6, ntyp = 3
/
ATOMIC_SPECIES
Be 9.01 Be.upf
Zn 65.41 Zn.upf
Pt 195.08 Pt.upf
CELL_PARAMETERS angstrom
0.000 3.063 3.063
3.063 0.000 3.063
3.063 3.063 0.000
ATOMIC_POSITIONS angstrom
Be 0.768 0.768 0.768
Be 2.295 2.295 0.768
Be 2.295 0.768 2.295
Be 0.768 2.295 2.295
Zn 4.595 4.595 4.595
Pt 3.063 3.063 3.063
! Energy of formation, meV per atom: -538
! SG: F-43m

4.
! SiNiSb4 | Alexandria via LeMat-Bulk | SCAN | single point on PBEsol structure; values from VASP
&SYSTEM
  ibrav = 0, nat = 6, ntyp = 3
/
ATOMIC_SPECIES
Si 28.09 Si.upf
Ni 58.69 Ni.upf
Sb 121.76 Sb.upf
CELL_PARAMETERS angstrom
0.000 4.226 4.226
4.226 0.000 4.226
4.226 4.226 0.000
ATOMIC_POSITIONS angstrom
Si 0.000 0.000 0.000
Ni 2.113 2.113 2.113
Sb 5.283 3.170 3.170
Sb 3.170 5.283 3.170
Sb 3.170 3.170 5.283
Sb 5.283 5.283 5.283
! SG: F-43m
! Formation energy without anion corrections, eV per atom: 1.086

5.
! Ba2BeFe | Alexandria via LeMat-Bulk | SCAN | single point on PBEsol structure; values from VASP
&SYSTEM
  ibrav = 0, nat = 4, ntyp = 3
/
ATOMIC_SPECIES
Ba 137.33 Ba.upf
Be 9.01 Be.upf
Fe 55.84 Fe.upf
CELL_PARAMETERS angstrom
4.251 0.000 0.000
0.000 2.391 5.590
0.000 -2.391 5.590
ATOMIC_POSITIONS angstrom
Ba 0.000 0.000 0.000
Ba 2.126 0.000 3.249
Be 0.000 0.000 7.650
Fe 2.126 0.000 6.985
! Energy of formation, meV per atom: 486
! SG: Amm2

6.
! SeIBr3 | Alexandria via LeMat-Bulk | SCAN | single point on PBEsol structure; values from VASP
&SYSTEM
  ibrav = 0, nat = 5, ntyp = 3
/
ATOMIC_SPECIES
Se 78.96 Se.upf
I 126.90 I.upf
Br 79.90 Br.upf
CELL_PARAMETERS angstrom
5.618 0.000 0.000
0.000 5.618 0.000
0.000 0.000 5.618
ATOMIC_POSITIONS angstrom
Se 0.000 0.000 0.000
I 2.809 2.809 2.809
Br 0.000 2.809 2.809
Br 2.809 0.000 2.809
Br 2.809 2.809 0.000
! SG: Pm-3m
! Formation energy without anion corrections, eV per atom: 0.524

7.
! BaBe3Cr | Alexandria via LeMat-Bulk | SCAN | single point on PBEsol structure; values from VASP
&SYSTEM
  ibrav = 0, nat = 5, ntyp = 3
/
ATOMIC_SPECIES
Ba 137.33 Ba.upf
Be 9.01 Be.upf
Cr 52.00 Cr.upf
CELL_PARAMETERS angstrom
4.589 0.000 0.000
0.000 4.589 0.000
0.000 0.000 4.589
ATOMIC_POSITIONS angstrom
Ba 0.000 0.000 0.000
Be 0.000 2.295 2.295
Be 2.295 0.000 2.295
Be 2.295 2.295 0.000
Cr 2.295 2.295 2.295
! Energy of formation, meV per atom: 690
! SG: Pm-3m

8.
! BePtS2 | Alexandria via LeMat-Bulk | SCAN | single point on PBEsol structure; values from VASP
&SYSTEM
  ibrav = 0, nat = 4, ntyp = 3
/
ATOMIC_SPECIES
Be 9.01 Be.upf
Pt 195.08 Pt.upf
S 32.06 S.upf
CELL_PARAMETERS angstrom
1.533 0.885 7.021
-1.533 0.885 7.021
0.000 -1.770 7.021
ATOMIC_POSITIONS angstrom
Be 0.000 0.000 0.000
Pt 0.000 0.000 10.532
S 0.000 0.000 8.290
S 0.000 0.000 12.774
! SG: R-3m
! Formation energy without anion corrections, eV per atom: -0.279

9.
! POsAuS2 | Alexandria via LeMat-Bulk | SCAN | single point on PBEsol structure; values from VASP
&SYSTEM
  ibrav = 0, nat = 5, ntyp = 4
/
ATOMIC_SPECIES
P 30.97 P.upf
Os 190.23 Os.upf
Au 196.97 Au.upf
S 32.06 S.upf
CELL_PARAMETERS angstrom
4.612 0.000 0.000
0.000 4.612 0.000
0.000 0.000 4.558
ATOMIC_POSITIONS angstrom
P 0.000 0.000 0.000
Os 2.306 2.306 0.000
Au 0.000 0.000 2.279
S 0.000 2.306 2.279
S 2.306 0.000 2.279
! SG: P4/mmm
! Formation energy without anion corrections, eV per atom: 1.873

10.
! TiRh2F2 | Alexandria via LeMat-Bulk | SCAN | single point on PBEsol structure; values from VASP
&SYSTEM
  ibrav = 0, nat = 5, ntyp = 3
/
ATOMIC_SPECIES
Ti 47.87 Ti.upf
Rh 102.91 Rh.upf
F 19.00 F.upf
CELL_PARAMETERS angstrom
-1.631 1.631 5.802
1.631 -1.631 5.802
1.631 1.631 -5.802
ATOMIC_POSITIONS angstrom
Ti 0.000 0.000 0.000
Rh 0.000 0.000 4.498
Rh 0.000 0.000 7.107
F 1.631 0.000 2.901
F 0.000 1.631 2.901
! SG: I4/mmm
! Formation energy without anion corrections, eV per atom: -0.956

11.
! TcPtBr | Alexandria via LeMat-Bulk | SCAN | single point on PBEsol structure; values from VASP
&SYSTEM
  ibrav = 0, nat = 3, ntyp = 3
/
ATOMIC_SPECIES
Tc 98.00 Tc.upf
Pt 195.08 Pt.upf
Br 79.90 Br.upf
CELL_PARAMETERS angstrom
0.000 2.541 6.960
1.428 0.000 6.960
1.428 2.541 0.000
ATOMIC_POSITIONS angstrom
Tc 0.000 0.000 0.000
Pt 1.428 2.541 4.774
Br 1.428 2.541 9.053
! SG: Fmm2
! Formation energy without anion corrections, eV per atom: 0.687

12.
! Zn2CoRe | Alexandria via LeMat-Bulk | SCAN | single point on PBEsol structure; values from VASP
&SYSTEM
  ibrav = 0, nat = 4, ntyp = 3
/
ATOMIC_SPECIES
Zn 65.41 Zn.upf
Co 58.93 Co.upf
Re 186.21 Re.upf
CELL_PARAMETERS angstrom
2.563 0.000 0.000
0.000 3.865 0.000
0.000 0.000 5.205
ATOMIC_POSITIONS angstrom
Zn 0.000 0.000 1.239
Zn 0.000 0.000 3.966
Co 1.282 1.932 0.000
Re 1.282 1.932 2.603
! Energy of formation, meV per atom: 240
! SG: Pmmm
! Excess energy over the best structure of this formula in the dataset, eV per formula unit: 0.71

Number 1: energy -41.193 eV/atom, mass density 7.5 Mg/m³. Number 2: energy -18.126 eV/atom, mass density 3.2 Mg/m³. Number 3: energy -17.392 eV/atom, mass density 8.6 Mg/m³. Number 4: energy -28.119 eV/atom, mass density 6.3 Mg/m³. Number 5: energy -24.910 eV/atom, mass density 5.0 Mg/m³. Number 6: energy -22.516 eV/atom, mass density 4.2 Mg/m³. Number 7: energy -13.509 eV/atom, mass density 3.7 Mg/m³. Number 8: energy -23.729 eV/atom, mass density 7.8 Mg/m³. Number 9: energy -32.265 eV/atom, mass density 8.3 Mg/m³. Number 10: energy -19.087 eV/atom, mass density 7.8 Mg/m³. Number 11: energy -40.884 eV/atom, mass density 12.3 Mg/m³. Number 12: energy -28.618 eV/atom, mass density 12.1 Mg/m³.